A plane-wave DFT calculation with GGA+U was carried out for RbVSb2O after structural relaxation.

Cell lengths 4.9782, 4.9782, 7.3285 Å; angles 90.00, 90.00, 90.00 degrees
With the nearest neighbours (Å) after each atom.
Element x y z (fractional)
Rb1 0.0000 0.0000 0.5000  4 O 3.52, 2 V 3.66
Sb1 0.5000 0.0000 0.0000  2 V 2.49
Sb2 0.0000 0.5000 0.0000  2 V 2.49
O1 0.5000 0.5000 0.5000  4 Rb 3.52
V1 0.0000 0.0000 0.0000  4 Sb 2.49

Output
V = 36.323 Å³/atom
Fermi-level density of states = 18.2 states/eV/cell
VASP energy = -17.2 eV per cell